No. 1
AcDyAlAu: optimized geometry, PBE.

Lattice parameters (Å, degrees): 7.612 7.612 7.612 90.00 90.00 90.00
Space group F-43m (No. 216)
Inequivalent atoms, fractional coordinates:
1 Ac 0.000 0.000 0.000 [4 per cell]
2 Dy 0.000 0.000 0.500 [4 per cell]
3 Al 0.250 0.250 0.250 [4 per cell]
4 Au 0.250 0.250 0.750 [4 per cell]

Calculated values
Crystal system = cubic



No. 2
Ac2DyAl3Au4: optimized geometry, PBE.

Lattice parameters (Å, degrees): 4.641 4.641 11.055 90.00 90.00 90.00
Space group P-4m2 (No. 115)
Inequivalent atoms, fractional coordinates:
1 Ac 0.000 0.500 0.230 [2 per cell]
2 Dy 0.000 0.000 0.500 [1 per cell]
3 Al 0.000 0.500 0.883 [2 per cell]
4 Al 0.500 0.500 0.500 [1 per cell]
5 Au 0.000 0.000 0.000 [1 per cell]
6 Au 0.000 0.500 0.652 [2 per cell]
7 Au 0.500 0.500 0.000 [1 per cell]

Calculated values
Crystal system = tetragonal



| no. | DFT formation energy (eV per atom) |
| --- | --- |
| 1 | -0.444 |
| 2 | -0.710 |